Entry 1:
{"formula": "ScGaPd3", "functional": "PBE", "state": "optimized geometry", "relative_energy_ev_per_atom": 1.125, "spacegroup": "Pm-3m, No. 221", "dft_energy_ev_per_atom": -4.638, "lattice_angstrom": [[4.795, 0.000, 0.000], [0.000, 4.795, 0.000], [0.000, 0.000, 4.795]], "species": ["Sc", "Ga", "Pd", "Pd", "Pd"], "frac_coords": [[0.000, 0.000, 0.000], [0.500, 0.500, 0.500], [0.000, 0.500, 0.000], [0.000, 0.000, 0.500], [0.500, 0.000, 0.000]]}

Entry 2:
{"formula": "Sc5Ga2Pd12", "functional": "PBE", "state": "optimized geometry", "spacegroup": "C2/m, No. 12", "dft_energy_ev_per_atom": -5.809, "lattice_angstrom": [[-1.615, 4.165, 3.116], [3.418, -5.911, 4.912], [6.029, 5.451, -4.160]], "species": ["Sc", "Sc", "Sc", "Sc", "Sc", "Ga", "Ga", "Pd", "Pd", "Pd", "Pd", "Pd", "Pd", "Pd", "Pd", "Pd", "Pd", "Pd", "Pd"], "frac_coords": [[0.319, 0.639, 0.630], [0.337, 0.674, 0.131], [0.000, 0.000, 0.500], [0.663, 0.326, 0.869], [0.681, 0.361, 0.370], [0.748, 0.000, 0.000], [0.252, 0.000, 0.000], [0.081, 0.162, 0.284], [0.067, 0.646, 0.882], [0.580, 0.646, 0.882], [0.089, 0.681, 0.396], [0.592, 0.681, 0.396], [0.495, 0.990, 0.648], [0.505, 0.010, 0.352], [0.911, 0.319, 0.604], [0.408, 0.319, 0.604], [0.933, 0.354, 0.118], [0.420, 0.354, 0.118], [0.919, 0.838, 0.716]]}

Entry 3:
{"formula": "ScGa6Pd", "functional": "PBE", "state": "optimized geometry", "spacegroup": "Cmmm, No. 65", "dft_energy_ev_per_atom": -4.031, "lattice_angstrom": [[-3.745, -2.143, -0.909], [-1.539, 0.283, 5.674], [-3.082, 4.857, 1.247]], "species": ["Sc", "Ga", "Ga", "Ga", "Ga", "Ga", "Ga", "Pd"], "frac_coords": [[0.500, 0.000, 0.000], [0.000, 0.703, 0.297], [0.000, 0.297, 0.703], [0.000, 0.798, 0.798], [0.000, 0.202, 0.202], [0.500, 0.500, 0.000], [0.500, 0.000, 0.500], [0.500, 0.500, 0.500]]}

Entry 4:
{"formula": "ScGaPd3", "functional": "PBE", "state": "optimized geometry", "relative_energy_ev_per_atom": 0.045, "spacegroup": "Pmmn, No. 59", "dft_energy_ev_per_atom": -5.719, "lattice_angstrom": [[4.441, -0.001, 0.000], [0.001, 5.594, 0.000], [0.000, 0.000, 6.892]], "species": ["Sc", "Sc", "Ga", "Ga", "Pd", "Pd", "Pd", "Pd", "Pd", "Pd"], "frac_coords": [[0.750, 0.250, 0.157], [0.250, 0.750, 0.843], [0.750, 0.750, 0.433], [0.250, 0.250, 0.567], [0.750, 0.750, 0.077], [0.250, 0.250, 0.923], [0.750, 0.011, 0.725], [0.750, 0.489, 0.725], [0.250, 0.989, 0.275], [0.250, 0.511, 0.275]]}

Entry 5:
{"formula": "ScGa4Pd7", "functional": "PBE", "state": "optimized geometry", "spacegroup": "C2/m, No. 12", "dft_energy_ev_per_atom": -5.083, "lattice_angstrom": [[-2.475, -3.823, 1.048], [1.501, -5.324, -5.457], [3.308, -4.057, 3.433]], "species": ["Sc", "Ga", "Ga", "Ga", "Ga", "Pd", "Pd", "Pd", "Pd", "Pd", "Pd", "Pd"], "frac_coords": [[0.000, 0.000, 0.000], [0.580, 0.216, 0.623], [0.420, 0.784, 0.377], [0.710, 0.663, 0.916], [0.290, 0.337, 0.084], [0.781, 0.876, 0.563], [0.219, 0.124, 0.437], [0.070, 0.660, 0.200], [0.930, 0.340, 0.800], [0.348, 0.576, 0.728], [0.500, 0.000, 0.000], [0.652, 0.424, 0.272]]}

Entry 6:
{"formula": "Sc3Ga3Pd2", "functional": "PBE", "state": "optimized geometry", "spacegroup": "Pnma, No. 62", "dft_energy_ev_per_atom": -5.517, "lattice_angstrom": [[5.423, 0.000, 0.000], [0.000, 7.035, 0.000], [0.000, 0.000, 15.643]], "species": ["Sc", "Sc", "Sc", "Sc", "Sc", "Sc", "Sc", "Sc", "Sc", "Sc", "Sc", "Sc", "Ga", "Ga", "Ga", "Ga", "Ga", "Ga", "Ga", "Ga", "Ga", "Ga", "Ga", "Ga", "Pd", "Pd", "Pd", "Pd", "Pd", "Pd", "Pd", "Pd"], "frac_coords": [[0.126, 0.469, 0.388], [0.626, 0.031, 0.612], [0.874, 0.531, 0.888], [0.374, 0.969, 0.112], [0.874, 0.531, 0.612], [0.374, 0.969, 0.388], [0.126, 0.469, 0.112], [0.626, 0.031, 0.888], [0.644, 0.332, 0.250], [0.144, 0.168, 0.750], [0.356, 0.668, 0.750], [0.856, 0.832, 0.250], [0.160, 0.184, 0.250], [0.660, 0.316, 0.750], [0.840, 0.816, 0.750], [0.340, 0.684, 0.250], [0.597, 0.313, 0.473], [0.097, 0.187, 0.527], [0.403, 0.687, 0.973], [0.903, 0.813, 0.027], [0.403, 0.687, 0.527], [0.903, 0.813, 0.473], [0.597, 0.313, 0.027], [0.097, 0.187, 0.973], [0.878, 0.110, 0.380], [0.378, 0.390, 0.620], [0.122, 0.890, 0.880], [0.622, 0.610, 0.120], [0.122, 0.890, 0.620], [0.622, 0.610, 0.380], [0.878, 0.110, 0.120], [0.378, 0.390, 0.880]]}

Entry 7:
{"formula": "ScGa3Pd3", "functional": "PBE", "state": "optimized geometry", "relative_energy_ev_per_atom": 0.562, "spacegroup": "Pm-3n, No. 223", "dft_energy_ev_per_atom": -4.516, "lattice_angstrom": [[-2.420, 5.971, 2.062], [-5.006, -3.160, 3.275], [3.854, -0.354, 5.549]], "species": ["Sc", "Sc", "Ga", "Ga", "Ga", "Ga", "Ga", "Ga", "Pd", "Pd", "Pd", "Pd", "Pd", "Pd"], "frac_coords": [[0.500, 0.500, 0.500], [0.000, 0.000, 0.000], [0.000, 0.250, 0.500], [0.000, 0.750, 0.500], [0.500, 0.000, 0.750], [0.750, 0.500, 0.000], [0.500, 0.000, 0.250], [0.250, 0.500, 0.000], [0.250, 0.000, 0.500], [0.000, 0.500, 0.250], [0.500, 0.750, 0.000], [0.750, 0.000, 0.500], [0.000, 0.500, 0.750], [0.500, 0.250, 0.000]]}

Entry 8:
{"formula": "ScGaPd3", "functional": "PBE", "state": "optimized geometry", "relative_energy_ev_per_atom": 0.584, "spacegroup": "Pm-3m, No. 221", "dft_energy_ev_per_atom": -5.179, "lattice_angstrom": [[4.616, 0.000, 0.000], [0.000, 4.616, 0.000], [0.000, 0.000, 4.616]], "species": ["Sc", "Ga", "Pd", "Pd", "Pd"], "frac_coords": [[0.500, 0.500, 0.500], [0.000, 0.000, 0.000], [0.000, 0.500, 0.000], [0.000, 0.000, 0.500], [0.500, 0.000, 0.000]]}

Entry 9:
{"formula": "ScGa7Pd2", "functional": "PBE", "state": "optimized geometry", "spacegroup": "Cmmm, No. 65", "dft_energy_ev_per_atom": -3.960, "lattice_angstrom": [[-2.081, -2.535, 3.023], [5.692, -0.267, 3.693], [-2.516, 5.577, 2.945]], "species": ["Sc", "Ga", "Ga", "Ga", "Ga", "Ga", "Ga", "Ga", "Pd", "Pd"], "frac_coords": [[0.000, 0.000, 0.000], [0.000, 0.647, 0.353], [0.000, 0.353, 0.647], [0.500, 0.111, 0.353], [0.500, 0.889, 0.647], [0.500, 0.353, 0.111], [0.500, 0.647, 0.889], [0.500, 0.500, 0.500], [0.500, 0.754, 0.246], [0.500, 0.246, 0.754]]}

Entry 10:
{"formula": "Sc4Ga2Pd", "functional": "PBE", "state": "optimized geometry", "relative_energy_ev_per_atom": 0.112, "spacegroup": "R-3m, No. 166", "dft_energy_ev_per_atom": -5.650, "lattice_angstrom": [[4.514, 0.000, 0.000], [2.257, 3.910, 0.000], [2.257, 1.303, 8.758]], "species": ["Sc", "Sc", "Sc", "Sc", "Ga", "Ga", "Pd"], "frac_coords": [[0.379, 0.379, 0.863], [0.203, 0.203, 0.392], [0.797, 0.797, 0.608], [0.621, 0.621, 0.137], [0.096, 0.096, 0.711], [0.904, 0.904, 0.289], [0.000, 0.000, 0.000]]}

Entry 11:
{"formula": "Sc3GaPd12", "functional": "PBE", "state": "optimized geometry", "spacegroup": "P4/mmm, No. 123", "dft_energy_ev_per_atom": -6.019, "lattice_angstrom": [[4.000, 0.000, 0.000], [0.000, 4.000, 0.000], [0.000, 0.000, 15.838]], "species": ["Sc", "Sc", "Sc", "Ga", "Pd", "Pd", "Pd", "Pd", "Pd", "Pd", "Pd", "Pd", "Pd", "Pd", "Pd", "Pd"], "frac_coords": [[0.000, 0.000, 0.246], [0.000, 0.000, 0.500], [0.000, 0.000, 0.754], [0.000, 0.000, 0.000], [0.500, 0.500, 0.000], [0.500, 0.500, 0.247], [0.500, 0.500, 0.500], [0.500, 0.500, 0.753], [0.500, 0.000, 0.120], [0.500, 0.000, 0.373], [0.500, 0.000, 0.627], [0.500, 0.000, 0.880], [0.000, 0.500, 0.120], [0.000, 0.500, 0.373], [0.000, 0.500, 0.627], [0.000, 0.500, 0.880]]}

Entry 12:
{"formula": "Sc2GaPd5", "functional": "PBE", "state": "optimized geometry", "spacegroup": "Pbam, No. 55", "dft_energy_ev_per_atom": -6.077, "lattice_angstrom": [[-0.612, -4.036, 0.219], [1.585, 0.054, 5.437], [-10.572, 1.769, 3.064]], "species": ["Sc", "Sc", "Sc", "Sc", "Ga", "Ga", "Pd", "Pd", "Pd", "Pd", "Pd", "Pd", "Pd", "Pd", "Pd", "Pd"], "frac_coords": [[0.500, 0.307, 0.361], [0.500, 0.693, 0.639], [0.500, 0.193, 0.861], [0.500, 0.807, 0.139], [0.000, 0.000, 0.500], [0.000, 0.500, 0.000], [0.500, 0.303, 0.109], [0.500, 0.697, 0.891], [0.500, 0.803, 0.391], [0.500, 0.197, 0.609], [0.000, 0.943, 0.747], [0.000, 0.057, 0.253], [0.000, 0.443, 0.753], [0.000, 0.557, 0.247], [0.000, 0.500, 0.500], [0.000, 0.000, 0.000]]}

| no. | ΔE_f (eV per formula unit) |
| --- | --- |
| 1 | 1.7 |
| 2 | -10.3 |
| 3 | -2.6 |
| 4 | -3.7 |
| 5 | -6.2 |
| 6 | -5.7 |
| 7 | -0.6 |
| 8 | -1.0 |
| 9 | -1.7 |
| 10 | -3.0 |
| 11 | -12.0 |
| 12 | -7.0 |